Density functional theory data (PBE) for a geometry-optimized InFe2TcC structure.

Unit cell a=3.947 b=3.947 c=4.102 alpha=90.00 beta=90.00 gamma=90.00
Positions (direct):
Fe: 0.000 0.500 0.000
Fe: 0.500 0.000 0.000
C: 0.000 0.000 0.000
Tc: 0.000 0.000 0.500
In: 0.500 0.500 0.500

Summary:
calculated density = 8.7 g cm⁻³
ΔH_f (0 K) = 0.4 eV/f.u.
total moment = 3.96 μB per formula unit
symmetry = P4/mmm

Density functional theory data (PBE) for a geometry-optimized Nd4OsNCl2 structure.

Unit cell a=3.903 b=6.866 c=7.672 alpha=106.72 beta=90.00 gamma=90.00
Positions (direct):
Nd: 0.500 0.220 0.190
Nd: 0.500 0.780 0.810
Nd: 0.000 0.233 0.801
Nd: 0.000 0.767 0.199
Os: 0.500 0.500 0.000
N: 0.000 0.000 0.000
Cl: 0.500 0.000 0.500
Cl: 0.000 0.500 0.500

Summary:
calculated density = 7.2 g cm⁻³
total moment = 0.00 μB per formula unit
symmetry = P2/m
electronic total energy = -0.46745 Ry/atom

Density functional theory data (PBE) for a geometry-optimized RbNa2AsAu structure.

Unit cell a=5.670 b=5.670 c=5.175 alpha=90.00 beta=90.00 gamma=90.00
Positions (direct):
Na: 0.000 0.500 0.000
Na: 0.500 0.000 0.000
As: 0.000 0.000 0.000
Au: 0.000 0.000 0.500
Rb: 0.500 0.500 0.500

Summary:
calculated density = 4.0 g cm⁻³
ΔH_f (0 K) = -1.1 eV/f.u.
total moment = 0.00 μB per formula unit
symmetry = P4/mmm

Density functional theory data (PBE) for a geometry-optimized SrGdAl2 structure.

Unit cell a=3.785 b=3.785 c=7.580 alpha=90.00 beta=90.00 gamma=90.00
Positions (direct):
Sr: 0.500 0.500 0.500
Gd: 0.500 0.500 0.000
Al: 0.000 0.000 0.782
Al: 0.000 0.000 0.218

Summary:
calculated density = 4.6 g cm⁻³
ΔH_f (0 K) = -0.9 eV/f.u.
total moment = 7.25 μB per formula unit
symmetry = P4/mmm
energy above the most stable polymorph in this dataset = 0.000 eV/atom

Density functional theory data (PBE) for a geometry-optimized Mo2PPdPb structure.

Unit cell a=5.089 b=4.334 c=5.089 alpha=90.00 beta=90.00 gamma=90.00
Positions (direct):
Pb: 0.500 0.500 0.500
P: 0.000 0.500 0.000
Mo: 0.000 0.000 0.500
Mo: 0.500 0.000 0.000
Pd: 0.000 0.000 0.000

Summary:
calculated density = 7.9 g cm⁻³
ΔH_f (0 K) = 6.9 eV/f.u.
total moment = 5.16 μB per formula unit
symmetry = P4/mmm

Density functional theory data (PBE) for a geometry-optimized K2NpF5 structure.

Unit cell a=6.761 b=7.653 c=11.070 alpha=90.00 beta=90.00 gamma=90.00
Positions (direct):
K: 0.471 0.503 0.831
K: 0.529 0.497 0.169
K: 0.971 0.497 0.669
K: 0.529 0.003 0.169
K: 0.029 0.503 0.331
K: 0.471 0.997 0.831
K: 0.029 0.997 0.331
K: 0.971 0.003 0.669
Np: 0.444 0.250 0.501
Np: 0.556 0.750 0.499
Np: 0.944 0.750 0.999
Np: 0.056 0.250 0.001
F: 0.095 0.250 0.509
F: 0.905 0.750 0.491
F: 0.595 0.750 0.991
F: 0.405 0.250 0.009
F: 0.349 0.970 0.583
F: 0.651 0.030 0.417
F: 0.849 0.030 0.917
F: 0.651 0.470 0.417
F: 0.151 0.970 0.083
F: 0.349 0.530 0.583
F: 0.151 0.530 0.083
F: 0.849 0.470 0.917
F: 0.166 0.250 0.803
F: 0.834 0.750 0.197
F: 0.666 0.750 0.697
F: 0.334 0.250 0.303
F: 0.642 0.250 0.671
F: 0.358 0.750 0.329
F: 0.142 0.750 0.829
F: 0.858 0.250 0.171

Summary:
calculated density = 4.8 g cm⁻³
total moment = 4.00 μB per formula unit
symmetry = Pnma
energy above the most stable polymorph in this dataset = 0.000 eV/atom

Density functional theory data (PBE) for a geometry-optimized NbInAs2Ru structure.

Unit cell a=4.998 b=5.206 c=4.998 alpha=90.00 beta=90.00 gamma=90.00
Positions (direct):
Ru: 0.500 0.500 0.500
Nb: 0.000 0.500 0.000
As: 0.000 0.000 0.500
As: 0.500 0.000 0.000
In: 0.000 0.000 0.000

Summary:
calculated density = 5.9 g cm⁻³
ΔH_f (0 K) = 9.8 eV/f.u.
total moment = 2.93 μB per formula unit
symmetry = P4/mmm

Density functional theory data (PBE) for a geometry-optimized TbSm2Ga3Rh4 structure.

Unit cell a=4.267 b=4.267 c=10.942 alpha=90.00 beta=90.00 gamma=90.00
Positions (direct):
Tb: 0.500 0.500 0.500
Sm: 0.500 0.000 0.219
Sm: 0.000 0.500 0.781
Ga: 0.000 0.000 0.500
Ga: 0.500 0.000 0.882
Ga: 0.000 0.500 0.118
Rh: 0.500 0.500 0.000
Rh: 0.000 0.000 0.000
Rh: 0.500 0.000 0.654
Rh: 0.000 0.500 0.346

Summary:
calculated density = 9.0 g cm⁻³
ΔH_f (0 K) = -7.8 eV/f.u.
total moment = 0.00 μB per formula unit
symmetry = P-4m2

Density functional theory data (PBE) for a geometry-optimized ZrBeAsIr2 structure.

Unit cell a=4.890 b=4.532 c=4.890 alpha=90.00 beta=90.00 gamma=90.00
Positions (direct):
Be: 0.000 0.500 0.000
As: 0.500 0.500 0.500
Ir: 0.000 0.000 0.500
Ir: 0.500 0.000 0.000
Zr: 0.000 0.000 0.000

Summary:
calculated density = 8.6 g cm⁻³
ΔH_f (0 K) = 7.8 eV/f.u.
total moment = 0.00 μB per formula unit
symmetry = P4/mmm

Density functional theory data (PBE) for a geometry-optimized Pm2Pr5Er4 structure.

Unit cell a=3.568 b=11.738 c=9.120 alpha=93.83 beta=101.28 gamma=90.00
Positions (direct):
Pm: 0.717 0.352 0.434
Pm: 0.283 0.648 0.566
Pr: 0.904 0.465 0.808
Pr: 0.096 0.535 0.192
Pr: 0.824 0.930 0.648
Pr: 0.500 0.000 0.000
Pr: 0.176 0.070 0.352
Er: 0.360 0.203 0.721
Er: 0.968 0.741 0.935
Er: 0.640 0.797 0.279
Er: 0.032 0.259 0.065

Summary:
calculated density = 7.4 g cm⁻³
ΔH_f (0 K) = 0.8 eV/f.u.
total moment = 0.00 μB per formula unit
symmetry = C2/m
energy above the most stable polymorph in this dataset = 0.000 eV/atom

Density functional theory data (PBE) for a geometry-optimized Tb5Tm2Al4 structure.

Unit cell a=5.007 b=10.669 c=8.669 alpha=127.98 beta=106.79 gamma=90.00
Positions (direct):
Tb: 0.196 0.540 0.393
Tb: 0.804 0.460 0.607
Tb: 0.196 0.853 0.393
Tb: 0.500 0.000 0.000
Tb: 0.804 0.147 0.607
Tm: 0.177 0.177 0.355
Tm: 0.823 0.823 0.645
Al: 0.602 0.602 0.204
Al: 0.000 0.180 0.000
Al: 0.398 0.398 0.796
Al: 0.000 0.820 0.000

Summary:
calculated density = 6.1 g cm⁻³
ΔH_f (0 K) = 2.3 eV/f.u.
total moment = 0.00 μB per formula unit
symmetry = Immm

Density functional theory data (PBE) for a geometry-optimized Nd3Dy2Y5 structure.

Unit cell a=9.385 b=9.377 c=11.165 alpha=124.13 beta=124.15 gamma=70.38
Positions (direct):
Nd: 0.230 0.980 0.960
Nd: 0.770 0.020 0.040
Nd: 0.729 0.474 0.250
Nd: 0.271 0.526 0.750
Nd: 0.021 0.776 0.250
Nd: 0.979 0.224 0.750
Dy: 0.770 0.016 0.742
Dy: 0.230 0.984 0.258
Dy: 0.472 0.726 0.742
Dy: 0.528 0.274 0.258
Y: 0.274 0.524 0.048
Y: 0.726 0.476 0.952
Y: 0.025 0.775 0.550
Y: 0.528 0.278 0.555
Y: 0.975 0.225 0.450
Y: 0.472 0.722 0.445
Y: 0.862 0.612 0.736
Y: 0.138 0.388 0.264
Y: 0.375 0.124 0.736
Y: 0.625 0.876 0.264

Summary:
calculated density = 5.9 g cm⁻³
ΔH_f (0 K) = 1.8 eV/f.u.
total moment = 0.00 μB per formula unit
symmetry = C2/c